Entry 1:
The following is a PBE calculation of an optimized crystal structure of Au3SeO, from Alexandria.

- Space-group type: Pm-3m (221)
- Offset from the most stable computed form: 432.5 meV/atom
- Formation energy (no corrections): 0.944 eV/atom

a = 4.929 Å, b = 4.929 Å, c = 4.929 Å
α = 90.00°, β = 90.00°, γ = 90.00°
Fractional positions:
1 Au 0.000 0.000 0.500
2 Au 0.000 0.500 0.000
3 Au 0.500 0.000 0.000
4 Se 0.000 0.000 0.000
5 O 0.500 0.500 0.500

Entry 2:
The following is a PBE calculation of an optimized crystal structure of Au2Se2O7, from Alexandria.

- Space-group type: C2/m (12)
- Offset from the most stable computed form: 217.5 meV/atom
- Formation energy (no corrections): -0.198 eV/atom

a = 6.255 Å, b = 6.255 Å, c = 5.762 Å
α = 98.82°, β = 98.82°, γ = 100.75°
Fractional positions:
1 Au 0.152 0.848 0.000
2 Au 0.848 0.152 0.000
3 Se 0.271 0.271 0.408
4 Se 0.729 0.729 0.592
5 O 0.092 0.390 0.243
6 O 0.200 0.200 0.650
7 O 0.390 0.092 0.243
8 O 0.500 0.500 0.500
9 O 0.610 0.908 0.757
10 O 0.800 0.800 0.350
11 O 0.908 0.610 0.757

Entry 3:
The following is a PBE calculation of an optimized crystal structure of AuSe2O, from Alexandria.

- Space-group type: R-3m (166)
- Formation energy (no corrections): 0.469 eV/atom

a = 2.963 Å, b = 2.963 Å, c = 26.171 Å
α = 90.00°, β = 90.00°, γ = 120.00°
Fractional positions:
1 Au 0.000 0.000 0.000
2 Au 0.333 0.667 0.667
3 Au 0.667 0.333 0.333
4 Se 0.000 0.000 0.102
5 Se 0.000 0.000 0.898
6 Se 0.333 0.667 0.565
7 Se 0.333 0.667 0.768
8 Se 0.667 0.333 0.232
9 Se 0.667 0.333 0.435
10 O 0.000 0.000 0.500
11 O 0.333 0.667 0.167
12 O 0.667 0.333 0.833

Entry 4:
The following is a PBE calculation of an optimized crystal structure of AuSeO3, from Alexandria.

- Space-group type: R-3 (148)
- Formation energy (no corrections): -0.245 eV/atom

a = 7.185 Å, b = 7.185 Å, c = 7.185 Å
α = 43.80°, β = 43.80°, γ = 43.80°
Fractional positions:
1 Au 0.165 0.165 0.165
2 Au 0.835 0.835 0.835
3 Se 0.391 0.391 0.391
4 Se 0.609 0.609 0.609
5 O 0.120 0.430 0.723
6 O 0.277 0.880 0.570
7 O 0.430 0.723 0.120
8 O 0.570 0.277 0.880
9 O 0.723 0.120 0.430
10 O 0.880 0.570 0.277

Entry 5:
The following is a PBE calculation of an optimized crystal structure of AuSeO2, from Alexandria.

- Space-group type: R-3m (166)
- Formation energy (no corrections): 0.034 eV/atom

a = 3.391 Å, b = 3.391 Å, c = 18.204 Å
α = 90.00°, β = 90.00°, γ = 120.00°
Fractional positions:
1 Au 0.000 0.000 0.000
2 Au 0.333 0.667 0.667
3 Au 0.667 0.333 0.333
4 Se 0.000 0.000 0.500
5 Se 0.333 0.667 0.167
6 Se 0.667 0.333 0.833
7 O 0.000 0.000 0.113
8 O 0.000 0.000 0.887
9 O 0.333 0.667 0.553
10 O 0.333 0.667 0.780
11 O 0.667 0.333 0.220
12 O 0.667 0.333 0.447

Entry 6:
The following is a PBE calculation of an optimized crystal structure of AuSeO2, from Alexandria.

- Space-group type: R-3m (166)
- Formation energy (no corrections): 0.131 eV/atom

a = 3.333 Å, b = 3.333 Å, c = 18.830 Å
α = 90.00°, β = 90.00°, γ = 120.00°
Fractional positions:
1 Au 0.000 0.000 0.000
2 Au 0.333 0.667 0.667
3 Au 0.667 0.333 0.333
4 Se 0.000 0.000 0.500
5 Se 0.333 0.667 0.167
6 Se 0.667 0.333 0.833
7 O 0.000 0.000 0.398
8 O 0.000 0.000 0.602
9 O 0.333 0.667 0.065
10 O 0.333 0.667 0.269
11 O 0.667 0.333 0.731
12 O 0.667 0.333 0.935

Entry 7:
The following is a PBE calculation of an optimized crystal structure of AuSeO4, from Alexandria.

- Space-group type: P2/c (13)
- Formation energy (no corrections): -0.178 eV/atom

a = 4.514 Å, b = 8.435 Å, c = 5.003 Å
α = 90.00°, β = 91.18°, γ = 90.00°
Fractional positions:
1 Au 0.000 0.171 0.250
2 Au 0.000 0.829 0.750
3 Se 0.500 0.245 0.750
4 Se 0.500 0.755 0.250
5 O 0.269 0.115 0.579
6 O 0.269 0.885 0.079
7 O 0.305 0.347 0.971
8 O 0.305 0.653 0.471
9 O 0.695 0.347 0.529
10 O 0.695 0.653 0.029
11 O 0.731 0.115 0.921
12 O 0.731 0.885 0.421

Entry 8:
The following is a PBE calculation of an optimized crystal structure of Au2Se2O7, from Alexandria.

- Space-group type: Pba2 (32)
- Offset from the most stable computed form: 0.0 meV/atom
- Formation energy (no corrections): -0.416 eV/atom

a = 7.256 Å, b = 11.550 Å, c = 4.315 Å
α = 90.00°, β = 90.00°, γ = 90.00°
Fractional positions:
1 Au 0.194 0.063 0.000
2 Au 0.306 0.563 0.000
3 Au 0.694 0.437 0.000
4 Au 0.806 0.937 0.000
5 Se 0.102 0.329 0.756
6 Se 0.398 0.829 0.756
7 Se 0.602 0.171 0.756
8 Se 0.898 0.671 0.756
9 O 0.000 0.000 0.281
10 O 0.036 0.208 0.978
11 O 0.120 0.624 0.673
12 O 0.163 0.415 0.075
13 O 0.337 0.915 0.075
14 O 0.380 0.124 0.673
15 O 0.464 0.708 0.978
16 O 0.500 0.500 0.281
17 O 0.536 0.292 0.978
18 O 0.620 0.876 0.673
19 O 0.663 0.085 0.075
20 O 0.837 0.585 0.075
21 O 0.880 0.376 0.673
22 O 0.964 0.792 0.978

Entry 9:
The following is a PBE calculation of an optimized crystal structure of Au3SeO, from Alexandria.

- Space-group type: Pm-3m (221)
- Offset from the most stable computed form: 0.0 meV/atom
- Formation energy (no corrections): 0.512 eV/atom

a = 4.530 Å, b = 4.530 Å, c = 4.530 Å
α = 90.00°, β = 90.00°, γ = 90.00°
Fractional positions:
1 Au 0.000 0.000 0.500
2 Au 0.000 0.500 0.000
3 Au 0.500 0.000 0.000
4 Se 0.500 0.500 0.500
5 O 0.000 0.000 0.000

Entry 10:
The following is a PBE calculation of an optimized crystal structure of AuSeO2, from Alexandria.

- Space-group type: Cc (9)
- Formation energy (no corrections): -0.053 eV/atom

a = 12.843 Å, b = 4.330 Å, c = 5.368 Å
α = 90.00°, β = 111.65°, γ = 90.00°
Fractional positions:
1 Au 0.000 0.245 0.000
2 Au 0.000 0.755 0.500
3 Au 0.500 0.255 0.500
4 Au 0.500 0.745 0.000
5 Se 0.247 0.443 0.512
6 Se 0.247 0.557 0.012
7 Se 0.747 0.057 0.012
8 Se 0.747 0.943 0.512
9 O 0.080 0.395 0.388
10 O 0.080 0.605 0.888
11 O 0.416 0.412 0.117
12 O 0.416 0.588 0.617
13 O 0.580 0.105 0.888
14 O 0.580 0.895 0.388
15 O 0.916 0.088 0.617
16 O 0.916 0.912 0.117

Entry 11:
The following is a PBE calculation of an optimized crystal structure of AuSeO2, from Alexandria.

- Space-group type: I-42d (122)
- Formation energy (no corrections): 0.263 eV/atom

a = 4.486 Å, b = 4.486 Å, c = 12.198 Å
α = 90.00°, β = 90.00°, γ = 90.00°
Fractional positions:
1 Au 0.000 0.000 0.000
2 Au 0.000 0.500 0.250
3 Au 0.500 0.000 0.750
4 Au 0.500 0.500 0.500
5 Se 0.000 0.000 0.500
6 Se 0.000 0.500 0.750
7 Se 0.500 0.000 0.250
8 Se 0.500 0.500 0.000
9 O 0.192 0.250 0.625
10 O 0.250 0.692 0.875
11 O 0.250 0.808 0.375
12 O 0.308 0.250 0.125
13 O 0.692 0.750 0.125
14 O 0.750 0.192 0.375
15 O 0.750 0.308 0.875
16 O 0.808 0.750 0.625

Entry 12:
The following is a PBE calculation of an optimized crystal structure of Au2Se3O10, from Alexandria.

- Space-group type: Cmc2_1 (36)
- Formation energy (no corrections): -0.436 eV/atom

a = 9.274 Å, b = 9.274 Å, c = 8.950 Å
α = 90.00°, β = 90.00°, γ = 40.40°
Fractional positions:
1 Au 0.140 0.176 0.000
2 Au 0.176 0.140 0.500
3 Au 0.824 0.860 0.000
4 Au 0.860 0.824 0.500
5 Se 0.153 0.847 0.138
6 Se 0.310 0.363 0.887
7 Se 0.363 0.310 0.387
8 Se 0.637 0.690 0.887
9 Se 0.690 0.637 0.387
10 Se 0.847 0.153 0.638
11 O 0.058 0.098 0.164
12 O 0.098 0.058 0.664
13 O 0.123 0.539 0.034
14 O 0.181 0.516 0.521
15 O 0.225 0.253 0.836
16 O 0.246 0.754 0.968
17 O 0.253 0.225 0.336
18 O 0.308 0.692 0.284
19 O 0.461 0.877 0.034
20 O 0.484 0.819 0.521
21 O 0.516 0.181 0.021
22 O 0.539 0.123 0.534
23 O 0.692 0.308 0.784
24 O 0.747 0.775 0.836
25 O 0.754 0.246 0.468
26 O 0.775 0.747 0.336
27 O 0.819 0.484 0.021
28 O 0.877 0.461 0.534
29 O 0.902 0.942 0.164
30 O 0.942 0.902 0.664

Entry 13:
The following is a PBE calculation of an optimized crystal structure of Au2Se4O11, from Alexandria.

- Space-group type: C2/c (15)
- Formation energy (no corrections): -0.533 eV/atom

a = 10.732 Å, b = 10.732 Å, c = 13.838 Å
α = 112.15°, β = 112.15°, γ = 23.00°
Fractional positions:
1 Au 0.000 0.000 0.000
2 Au 0.000 0.000 0.500
3 Au 0.000 0.500 0.000
4 Au 0.500 0.000 0.500
5 Se 0.082 0.594 0.423
6 Se 0.154 0.697 0.757
7 Se 0.303 0.846 0.743
8 Se 0.406 0.918 0.077
9 Se 0.594 0.082 0.923
10 Se 0.697 0.154 0.257
11 Se 0.846 0.303 0.243
12 Se 0.918 0.406 0.577
13 O 0.007 0.993 0.750
14 O 0.049 0.199 0.744
15 O 0.063 0.123 0.489
16 O 0.123 0.063 0.989
17 O 0.179 0.272 0.115
18 O 0.199 0.049 0.244
19 O 0.243 0.405 0.528
20 O 0.272 0.179 0.615
21 O 0.307 0.620 0.890
22 O 0.380 0.693 0.610
23 O 0.405 0.243 0.028
24 O 0.595 0.757 0.972
25 O 0.620 0.307 0.390
26 O 0.693 0.380 0.110
27 O 0.728 0.821 0.385
28 O 0.757 0.595 0.472
29 O 0.801 0.951 0.756
30 O 0.821 0.728 0.885
31 O 0.877 0.937 0.011
32 O 0.937 0.877 0.511
33 O 0.951 0.801 0.256
34 O 0.993 0.007 0.250

Entry 14:
The following is a PBE calculation of an optimized crystal structure of AuSe2O, from Alexandria.

- Space-group type: I-42d (122)
- Formation energy (no corrections): 0.263 eV/atom

a = 5.002 Å, b = 5.002 Å, c = 12.840 Å
α = 90.00°, β = 90.00°, γ = 90.00°
Fractional positions:
1 Au 0.000 0.000 0.000
2 Au 0.000 0.500 0.250
3 Au 0.500 0.000 0.750
4 Au 0.500 0.500 0.500
5 Se 0.161 0.250 0.625
6 Se 0.250 0.661 0.875
7 Se 0.250 0.839 0.375
8 Se 0.339 0.250 0.125
9 Se 0.661 0.750 0.125
10 Se 0.750 0.161 0.375
11 Se 0.750 0.339 0.875
12 Se 0.839 0.750 0.625
13 O 0.000 0.000 0.500
14 O 0.000 0.500 0.750
15 O 0.500 0.000 0.250
16 O 0.500 0.500 0.000

Entry 15:
The following is a PBE calculation of an optimized crystal structure of SrAuSe2O8, from Alexandria.

- Space-group type: R-3 (148)
- Formation energy (no corrections): -0.864 eV/atom

a = 8.082 Å, b = 8.082 Å, c = 8.082 Å
α = 37.35°, β = 37.35°, γ = 37.35°
Fractional positions:
1 Sr 0.000 0.000 0.000
2 Au 0.500 0.500 0.500
3 Se 0.251 0.251 0.251
4 Se 0.749 0.749 0.749
5 O 0.067 0.445 0.800
6 O 0.200 0.933 0.555
7 O 0.325 0.325 0.325
8 O 0.445 0.800 0.067
9 O 0.555 0.200 0.933
10 O 0.675 0.675 0.675
11 O 0.800 0.067 0.445
12 O 0.933 0.555 0.200

Entry 16:
The following is a PBE calculation of an optimized crystal structure of SrAuSeO6, from Alexandria.

- Space-group type: C2 (5)
- Formation energy (no corrections): -0.933 eV/atom

a = 5.242 Å, b = 5.242 Å, c = 5.343 Å
α = 90.58°, β = 90.58°, γ = 118.51°
Fractional positions:
1 Sr 0.000 0.000 0.000
2 Au 0.331 0.669 0.500
3 Se 0.665 0.335 0.500
4 O 0.379 0.039 0.686
5 O 0.387 0.367 0.300
6 O 0.633 0.613 0.700
7 O 0.652 0.067 0.286
8 O 0.933 0.348 0.714
9 O 0.961 0.621 0.314

Entry 17:
The following is a PBE calculation of an optimized crystal structure of Ta2AuSeO, from Alexandria.

- Space-group type: P4/mmm (123)
- Formation energy (no corrections): 1.489 eV/atom

a = 4.751 Å, b = 4.751 Å, c = 4.766 Å
α = 90.00°, β = 90.00°, γ = 90.00°
Fractional positions:
1 Ta 0.000 0.500 0.000
2 Ta 0.500 0.000 0.000
3 Au 0.000 0.000 0.500
4 Se 0.000 0.000 0.000
5 O 0.500 0.500 0.500

Entry 18:
The following is a PBE calculation of an optimized crystal structure of Tl6Au2SeO, from Alexandria.

- Space-group type: P2_1/c (14)
- Formation energy (no corrections): -0.197 eV/atom

a = 6.928 Å, b = 8.080 Å, c = 11.984 Å
α = 90.00°, β = 122.41°, γ = 90.00°
Fractional positions:
1 Tl 0.072 0.190 0.428
2 Tl 0.072 0.310 0.928
3 Tl 0.223 0.642 0.421
4 Tl 0.223 0.858 0.921
5 Tl 0.401 0.067 0.224
6 Tl 0.401 0.433 0.724
7 Tl 0.599 0.567 0.276
8 Tl 0.599 0.933 0.776
9 Tl 0.777 0.142 0.079
10 Tl 0.777 0.358 0.579
11 Tl 0.928 0.690 0.072
12 Tl 0.928 0.810 0.572
13 Au 0.181 0.124 0.727
14 Au 0.181 0.376 0.227
15 Au 0.819 0.624 0.773
16 Au 0.819 0.876 0.273
17 Se 0.500 0.000 0.500
18 Se 0.500 0.500 0.000
19 O 0.000 0.000 0.000
20 O 0.000 0.500 0.500

Entry 19:
The following is a PBE calculation of an optimized crystal structure of TlAuSe2O8, from Alexandria.

- Space-group type: R-3 (148)
- Formation energy (no corrections): -0.427 eV/atom

a = 9.406 Å, b = 9.406 Å, c = 9.406 Å
α = 31.65°, β = 31.65°, γ = 31.65°
Fractional positions:
1 Tl 0.000 0.000 0.000
2 Au 0.500 0.500 0.500
3 Se 0.237 0.237 0.237
4 Se 0.763 0.763 0.763
5 O 0.098 0.469 0.781
6 O 0.219 0.902 0.531
7 O 0.299 0.299 0.299
8 O 0.469 0.781 0.098
9 O 0.531 0.219 0.902
10 O 0.701 0.701 0.701
11 O 0.781 0.098 0.469
12 O 0.902 0.531 0.219

Entry 20:
The following is a PBE calculation of an optimized crystal structure of Y2AuSeO, from Alexandria.

- Space-group type: P4/mmm (123)
- Formation energy (no corrections): -1.210 eV/atom

a = 4.694 Å, b = 4.694 Å, c = 4.712 Å
α = 90.00°, β = 90.00°, γ = 90.00°
Fractional positions:
1 Y 0.000 0.500 0.000
2 Y 0.500 0.000 0.000
3 Au 0.000 0.000 0.500
4 Se 0.500 0.500 0.500
5 O 0.000 0.000 0.000